(1)
Computed, not measured: a relaxed Tm2Ni2B2AsC crystal at the GGA-PBE level of DFT.

a b c (Å): 3.8006 3.8006 7.7273
angles (deg): 90.00 90.00 90.00
Sites, in units of the cell vectors:
Tm 0.0000 0.0000 0.0000
Tm 0.5000 0.5000 0.3336
Ni 0.0000 0.5000 0.7078
Ni 0.5000 0.0000 0.7078
B 0.0000 0.0000 0.6364
B 0.5000 0.5000 0.8438
As 0.0000 0.0000 0.3691
C 0.5000 0.5000 0.0378

Calculated values
Calculated volume = 112 Å³/cell
Electronic total energy = -0.2356 hartree per atom
Crystal system = tetragonal
Total moment = 0.00 μB per formula unit
Space group = P4mm (99)



(2)
Computed, not measured: a relaxed ZrTlAgSe3 crystal at the GGA-PBE level of DFT.

a b c (Å): 8.2656 3.9570 10.2538
angles (deg): 90.00 110.00 90.00
Sites, in units of the cell vectors:
Zr 0.1949 0.2500 0.1619
Zr 0.8051 0.7500 0.8381
Tl 0.2341 0.7500 0.7058
Tl 0.7659 0.2500 0.2942
Ag 0.4325 0.7500 0.3925
Ag 0.5675 0.2500 0.6075
Se 0.0509 0.2500 0.8734
Se 0.2261 0.2500 0.4300
Se 0.4080 0.7500 0.1319
Se 0.5920 0.2500 0.8681
Se 0.7739 0.7500 0.5700
Se 0.9491 0.7500 0.1266

Calculated values
Distance to the lowest polymorph of the same formula = 0.000 eV per atom
Calculated volume = 315 Å³/cell
Crystal system = monoclinic
Total moment = 0.00 μB per formula unit
Space group = P2_1/m (11)



(3)
Computed, not measured: a relaxed BeIr crystal at the GGA-PBE level of DFT.

a b c (Å): 3.4987 3.4987 3.4987
angles (deg): 60.00 60.00 60.00
Sites, in units of the cell vectors:
Be 0.0000 0.0000 0.0000
Ir 0.7500 0.7500 0.7500

Calculated values
Calculated volume = 30 Å³/cell
Electronic total energy = -0.1976 hartree per atom
Crystal system = cubic
Total moment = 0.24 μB per formula unit
Space group = F-43m (216)



(4)
Computed, not measured: a relaxed Ba2ZrS2O2 crystal at the GGA-PBE level of DFT.

a b c (Å): 7.3949 7.3949 7.3949
angles (deg): 139.08 139.08 59.25
Sites, in units of the cell vectors:
Ba 0.1505 0.1505 0.0000
Ba 0.8495 0.8495 0.0000
Zr 0.5000 0.5000 0.0000
S 0.0000 0.5000 0.5000
S 0.5000 0.0000 0.5000
O 0.3407 0.3407 0.0000
O 0.6593 0.6593 0.0000

Calculated values
Distance to the lowest polymorph of the same formula = 0.310 eV per atom
Calculated volume = 172 Å³/cell
Crystal system = tetragonal
Total moment = 0.00 μB per formula unit
Space group = I4/mmm (139)



(5)
Computed, not measured: a relaxed ZrFeNiGe crystal at the GGA-PBE level of DFT.

a b c (Å): 4.3131 4.3131 4.3131
angles (deg): 60.00 60.00 60.00
Sites, in units of the cell vectors:
Zr 0.0000 0.0000 0.0000
Fe 0.7500 0.7500 0.7500
Ni 0.2500 0.2500 0.2500
Ge 0.5000 0.5000 0.5000

Calculated values
Distance to the lowest polymorph of the same formula = 0.000 eV per atom
Calculated volume = 57 Å³/cell
Crystal system = cubic
Total moment = 1.74 μB per formula unit
Space group = F-43m (216)



(6)
Computed, not measured: a relaxed Fe2NiI8 crystal at the GGA-PBE level of DFT.

a b c (Å): 8.5284 8.5284 6.7792
angles (deg): 92.43 92.43 74.94
Sites, in units of the cell vectors:
Fe 0.1803 0.1803 0.1242
Fe 0.8197 0.8197 0.8758
Ni 0.0000 0.0000 0.5000
I 0.0992 0.7240 0.7178
I 0.1636 0.1636 0.7465
I 0.2760 0.9008 0.2822
I 0.3622 0.3622 0.2014
I 0.6378 0.6378 0.7986
I 0.7240 0.0992 0.7178
I 0.8364 0.8364 0.2535
I 0.9008 0.2760 0.2822

Calculated values
Calculated volume = 475 Å³/cell
Electronic total energy = -0.1197 hartree per atom
Crystal system = monoclinic
Total moment = 10.00 μB per formula unit
Space group = C2/m (12)



(7)
Computed, not measured: a relaxed Ac2Er2O5 crystal at the GGA-PBE level of DFT.

a b c (Å): 4.3329 4.3329 8.0582
angles (deg): 90.00 90.00 90.00
Sites, in units of the cell vectors:
Ac 0.0000 0.0000 0.0000
Ac 0.0000 0.0000 0.5000
Er 0.5000 0.5000 0.2376
Er 0.5000 0.5000 0.7624
O 0.0000 0.5000 0.2498
O 0.0000 0.5000 0.7502
O 0.5000 0.0000 0.2498
O 0.5000 0.0000 0.7502
O 0.5000 0.5000 0.5000

Calculated values
Distance to the lowest polymorph of the same formula = 0.000 eV per atom
Calculated volume = 151 Å³/cell
Crystal system = tetragonal
Total moment = 0.00 μB per formula unit
Space group = P4/mmm (123)



(8)
Computed, not measured: a relaxed HfZn2As crystal at the GGA-PBE level of DFT.

a b c (Å): 4.6328 4.6328 4.6328
angles (deg): 60.00 60.00 60.00
Sites, in units of the cell vectors:
Hf 0.0000 0.0000 0.0000
Zn 0.2500 0.2500 0.2500
Zn 0.5000 0.5000 0.5000
As 0.7500 0.7500 0.7500

Calculated values
Calculated volume = 70 Å³/cell
Electronic total energy = -0.1573 hartree per atom
Crystal system = cubic
Total moment = 0.00 μB per formula unit
Space group = F-43m (216)



(9)
Computed, not measured: a relaxed Rb2ReSe2S crystal at the GGA-PBE level of DFT.

a b c (Å): 7.9536 7.9536 10.2039
angles (deg): 122.78 122.78 52.60
Sites, in units of the cell vectors:
Rb 0.0851 0.0851 0.3618
Rb 0.3029 0.3029 0.1889
Rb 0.6971 0.6971 0.8111
Rb 0.9149 0.9149 0.6382
Re 0.3983 0.3983 0.8455
Re 0.6017 0.6017 0.1545
Se 0.2075 0.2075 0.7830
Se 0.3942 0.3942 0.6090
Se 0.6058 0.6058 0.3910
Se 0.7925 0.7925 0.2170
S 0.2416 0.7584 0.0000
S 0.7584 0.2416 0.0000

Calculated values
Calculated volume = 409 Å³/cell
Electronic total energy = -0.1810 hartree per atom
Crystal system = monoclinic
Total moment = 0.71 μB per formula unit
Space group = C2/m (12)



(10)
Computed, not measured: a relaxed Hf4InPC2 crystal at the GGA-PBE level of DFT.

a b c (Å): 3.3667 3.3667 13.4627
angles (deg): 90.00 90.00 120.00
Sites, in units of the cell vectors:
Hf 0.0000 0.0000 0.1327
Hf 0.0000 0.0000 0.8673
Hf 0.3333 0.6667 0.3165
Hf 0.3333 0.6667 0.6835
In 0.0000 0.0000 0.5000
P 0.3333 0.6667 0.0000
C 0.6667 0.3333 0.2280
C 0.6667 0.3333 0.7720

Calculated values
Calculated volume = 132 Å³/cell
Electronic total energy = -0.3382 hartree per atom
Crystal system = hexagonal
Total moment = 0.01 μB per formula unit
Space group = P-6m2 (187)



(11)
Computed, not measured: a relaxed NaNi3As5 crystal at the GGA-PBE level of DFT.

a b c (Å): 5.0010 5.0010 7.6392
angles (deg): 90.00 90.00 120.00
Sites, in units of the cell vectors:
Na 0.0000 0.0000 0.0000
Ni 0.0000 0.5000 0.5000
Ni 0.5000 0.0000 0.5000
Ni 0.5000 0.5000 0.5000
As 0.0000 0.0000 0.5000
As 0.3333 0.6667 0.2393
As 0.3333 0.6667 0.7607
As 0.6667 0.3333 0.2393
As 0.6667 0.3333 0.7607

Calculated values
Calculated volume = 165 Å³/cell
Electronic total energy = -0.1748 hartree per atom
Crystal system = hexagonal
Total moment = 0.01 μB per formula unit
Space group = P6/mmm (191)



(12)
Computed, not measured: a relaxed ScCdCuPd crystal at the GGA-PBE level of DFT.

a b c (Å): 4.5864 4.5864 4.5864
angles (deg): 60.00 60.00 60.00
Sites, in units of the cell vectors:
Sc 0.0000 0.0000 0.0000
Cd 0.7500 0.7500 0.7500
Cu 0.2500 0.2500 0.2500
Pd 0.5000 0.5000 0.5000

Calculated values
Distance to the lowest polymorph of the same formula = 0.135 eV per atom
Calculated volume = 68 Å³/cell
Crystal system = cubic
ΔE_f = -0.3253 eV per atom
Total moment = 0.00 μB per formula unit
Space group = F-43m (216)



(13)
Computed, not measured: a relaxed ErMgB4 crystal at the GGA-PBE level of DFT.

a b c (Å): 4.8979 4.8979 4.8979
angles (deg): 142.06 112.71 79.93
Sites, in units of the cell vectors:
Er 0.0000 0.0000 0.0000
Mg 0.5000 0.5000 0.0000
B 0.0740 0.7452 0.3288
B 0.4164 0.7452 0.6712
B 0.5836 0.2548 0.3288
B 0.9260 0.2548 0.6712

Calculated values
Distance to the lowest polymorph of the same formula = 0.000 eV per atom
Calculated volume = 65 Å³/cell
Crystal system = orthorhombic
Total moment = 0.00 μB per formula unit
Space group = Immm (71)



(14)
Computed, not measured: a relaxed SmZnTe3 crystal at the GGA-PBE level of DFT.

a b c (Å): 18.1365 18.1365 4.2474
angles (deg): 90.00 90.00 166.23
Sites, in units of the cell vectors:
Sm 0.1287 0.8713 0.0000
Sm 0.8713 0.1287 0.0000
Zn 0.3262 0.6738 0.5000
Zn 0.6738 0.3262 0.5000
Te 0.0612 0.9388 0.5000
Te 0.2090 0.7910 0.0000
Te 0.4382 0.5618 0.0000
Te 0.5618 0.4382 0.0000
Te 0.7910 0.2090 0.0000
Te 0.9388 0.0612 0.5000

Calculated values
Calculated volume = 333 Å³/cell
Electronic total energy = -0.1265 hartree per atom
Crystal system = orthorhombic
Total moment = 0.00 μB per formula unit
Space group = Cmmm (65)



(15)
Computed, not measured: a relaxed ScAgTe3Pb crystal at the GGA-PBE level of DFT.

a b c (Å): 8.2131 4.2366 10.4489
angles (deg): 90.00 107.04 90.00
Sites, in units of the cell vectors:
Sc 0.1970 0.2500 0.1718
Sc 0.8030 0.7500 0.8282
Ag 0.4157 0.7500 0.4056
Ag 0.5843 0.2500 0.5944
Te 0.0686 0.2500 0.8732
Te 0.2062 0.2500 0.4572
Te 0.4337 0.7500 0.1443
Te 0.5663 0.2500 0.8557
Te 0.7938 0.7500 0.5428
Te 0.9314 0.7500 0.1268
Pb 0.2419 0.7500 0.7121
Pb 0.7581 0.2500 0.2879

Calculated values
Distance to the lowest polymorph of the same formula = 0.004 eV per atom
Calculated volume = 348 Å³/cell
Crystal system = monoclinic
Total moment = 0.00 μB per formula unit
Space group = P2_1/m (11)



(16)
Computed, not measured: a relaxed Li8Re4O11 crystal at the GGA-PBE level of DFT.

a b c (Å): 4.8191 5.2686 8.4848
angles (deg): 74.35 88.27 81.03
Sites, in units of the cell vectors:
Li 0.0000 0.0000 0.0000
Li 0.0013 0.9956 0.3357
Li 0.0094 0.0013 0.6736
Li 0.2401 0.4783 0.2563
Li 0.4961 0.9981 0.1664
Li 0.5095 0.9998 0.8305
Li 0.5199 0.9795 0.5114
Li 0.7717 0.4915 0.7469
Re 0.2528 0.4928 0.9366
Re 0.2947 0.5052 0.5581
Re 0.7105 0.4997 0.4050
Re 0.7408 0.4958 0.0859
O 0.1196 0.2386 0.1388
O 0.1302 0.2529 0.4654
O 0.1440 0.2690 0.7976
O 0.3671 0.7530 0.0561
O 0.3795 0.7213 0.7143
O 0.6215 0.2250 0.2948
O 0.6289 0.2464 0.9577
O 0.6452 0.2397 0.6223
O 0.8670 0.7470 0.2094
O 0.8763 0.7426 0.8749
O 0.9019 0.7188 0.5283

Calculated values
Distance to the lowest polymorph of the same formula = 0.000 eV per atom
Calculated volume = 205 Å³/cell
Crystal system = triclinic
Total moment = 2.00 μB per formula unit
Space group = P1 (1)



(17)
Computed, not measured: a relaxed Cu2HgI2Cl2 crystal at the GGA-PBE level of DFT.

a b c (Å): 5.8441 5.6364 6.3313
angles (deg): 90.00 94.65 90.00
Sites, in units of the cell vectors:
Cu 0.0000 0.0000 0.0000
Cu 0.5000 0.4488 0.0000
Hg 0.5000 0.9468 0.5000
I 0.2131 0.7080 0.7625
I 0.7869 0.7080 0.2375
Cl 0.2652 0.2295 0.2073
Cl 0.7348 0.2295 0.7927

Calculated values
Calculated volume = 208 Å³/cell
Electronic total energy = -0.0894 hartree per atom
Crystal system = monoclinic
Space group = P2 (3)



(18)
Computed, not measured: a relaxed DySnTe3Au crystal at the GGA-PBE level of DFT.

a b c (Å): 10.4113 4.4358 16.6547
angles (deg): 90.00 90.00 90.00
Sites, in units of the cell vectors:
Dy 0.1937 0.2500 0.0342
Dy 0.3063 0.7500 0.5342
Dy 0.6937 0.2500 0.4658
Dy 0.8063 0.7500 0.9658
Sn 0.1708 0.7500 0.2818
Sn 0.3292 0.2500 0.7818
Sn 0.6708 0.7500 0.2182
Sn 0.8292 0.2500 0.7182
Te 0.0257 0.7500 0.1220
Te 0.1371 0.2500 0.4658
Te 0.1781 0.7500 0.7029
Te 0.3219 0.2500 0.2029
Te 0.3629 0.7500 0.9658
Te 0.4743 0.2500 0.6220
Te 0.5257 0.7500 0.3780
Te 0.6371 0.2500 0.0342
Te 0.6781 0.7500 0.7971
Te 0.8219 0.2500 0.2971
Te 0.8629 0.7500 0.5342
Te 0.9743 0.2500 0.8780
Au 0.1225 0.7500 0.9051
Au 0.3775 0.2500 0.4051
Au 0.6225 0.7500 0.5949
Au 0.8775 0.2500 0.0949

Calculated values
Distance to the lowest polymorph of the same formula = 0.028 eV per atom
Calculated volume = 769 Å³/cell
Crystal system = orthorhombic
Total moment = 0.00 μB per formula unit
Space group = Pnma (62)



(19)
Computed, not measured: a relaxed NdEr2N3 crystal at the GGA-PBE level of DFT.

a b c (Å): 3.4858 3.4858 8.5524
angles (deg): 90.00 90.00 120.00
Sites, in units of the cell vectors:
Nd 0.0000 0.0000 0.0000
Er 0.3333 0.6667 0.3391
Er 0.6667 0.3333 0.6609
N 0.0000 0.0000 0.5000
N 0.3333 0.6667 0.8206
N 0.6667 0.3333 0.1794

Calculated values
Calculated volume = 90 Å³/cell
Electronic total energy = -0.2973 hartree per atom
Crystal system = trigonal
Total moment = 0.00 μB per formula unit
Space group = P-3m1 (164)



(20)
Computed, not measured: a relaxed FeAgPdPb crystal at the GGA-PBE level of DFT.

a b c (Å): 4.6521 4.6521 4.6521
angles (deg): 60.00 60.00 60.00
Sites, in units of the cell vectors:
Fe 0.0000 0.0000 0.0000
Ag 0.2500 0.2500 0.2500
Pd 0.5000 0.5000 0.5000
Pb 0.7500 0.7500 0.7500

Calculated values
Distance to the lowest polymorph of the same formula = 0.000 eV per atom
Calculated volume = 71 Å³/cell
Crystal system = cubic
Total moment = 2.92 μB per formula unit
Space group = F-43m (216)



(21)
Computed, not measured: a relaxed DyY2In3Ag2Pt crystal at the GGA-PBE level of DFT.

a b c (Å): 3.9938 7.7352 7.7352
angles (deg): 120.00 90.00 90.00
Sites, in units of the cell vectors:
Dy 0.0000 0.0000 0.0000
Y 0.0000 0.2057 0.6030
Y 0.0000 0.6030 0.2057
In 0.5000 0.3460 0.3460
In 0.5000 0.6030 0.8601
In 0.5000 0.8601 0.6030
Ag 0.5000 0.2687 0.9365
Ag 0.5000 0.9365 0.2687
Pt 0.0000 0.6041 0.6041

Calculated values
Calculated volume = 207 Å³/cell
Electronic total energy = -0.1753 hartree per atom
Crystal system = orthorhombic
Total moment = 0.00 μB per formula unit
Space group = Amm2 (38)



(22)
Computed, not measured: a relaxed Nd2Y2CBr2Cl3 crystal at the GGA-PBE level of DFT.

a b c (Å): 9.1633 9.1633 7.9155
angles (deg): 103.70 103.70 23.86
Sites, in units of the cell vectors:
Nd 0.1447 0.1447 0.0852
Nd 0.8553 0.8553 0.9148
Y 0.4998 0.4998 0.2096
Y 0.5002 0.5002 0.7904
C 0.0000 0.0000 0.0000
Br 0.3327 0.3327 0.1907
Br 0.6673 0.6673 0.8093
Cl 0.0000 0.0000 0.5000
Cl 0.3448 0.3448 0.6467
Cl 0.6552 0.6552 0.3533

Calculated values
Distance to the lowest polymorph of the same formula = 0.004 eV per atom
Calculated volume = 261 Å³/cell
Crystal system = monoclinic
Total moment = 0.24 μB per formula unit
Space group = C2/m (12)



(23)
Computed, not measured: a relaxed TaCdCuPb crystal at the GGA-PBE level of DFT.

a b c (Å): 4.8305 4.8305 4.8305
angles (deg): 60.00 60.00 60.00
Sites, in units of the cell vectors:
Ta 0.0000 0.0000 0.0000
Cd 0.7500 0.7500 0.7500
Cu 0.5000 0.5000 0.5000
Pb 0.2500 0.2500 0.2500

Calculated values
Distance to the lowest polymorph of the same formula = 0.000 eV per atom
Calculated volume = 80 Å³/cell
Crystal system = cubic
Total moment = 1.55 μB per formula unit
Space group = F-43m (216)



(24)
Computed, not measured: a relaxed CsMgFeRe crystal at the GGA-PBE level of DFT.

a b c (Å): 4.9291 4.9291 4.9291
angles (deg): 60.00 60.00 60.00
Sites, in units of the cell vectors:
Cs 0.0000 0.0000 0.0000
Mg 0.2500 0.2500 0.2500
Fe 0.7500 0.7500 0.7500
Re 0.5000 0.5000 0.5000

Calculated values
Distance to the lowest polymorph of the same formula = 0.000 eV per atom
Calculated volume = 85 Å³/cell
Crystal system = cubic
Total moment = 4.78 μB per formula unit
Space group = F-43m (216)